1.
Material: RbTlMoCl6
Method: DFT, PBE
State: relaxed

Lattice parameters (Å, degrees): 7.766 7.766 11.517 90.00 90.00 120.00
Site moments in Bohr magnetons follow the coordinates.
Element x y z (fractional)
Rb 0.333 0.667 0.250  0.00
Rb 0.667 0.333 0.750  0.00
Tl 0.000 0.000 0.000  0.00
Tl 0.000 0.000 0.500  0.00
Mo 0.667 0.333 0.250  1.68
Mo 0.333 0.667 0.750  1.68
Cl 0.672 0.588 0.129  0.01
Cl 0.916 0.328 0.129  0.01
Cl 0.328 0.916 0.629  0.01
Cl 0.084 0.672 0.871  0.01
Cl 0.412 0.328 0.371  0.01
Cl 0.916 0.588 0.371  0.01
Cl 0.588 0.916 0.871  0.01
Cl 0.672 0.084 0.371  0.01
Cl 0.084 0.412 0.629  0.01
Cl 0.412 0.084 0.129  0.01
Cl 0.588 0.672 0.629  0.01
Cl 0.328 0.412 0.871  0.01

## Properties
uncorrected formation energy = -1.151 eV/atom


2.
Material: Rb2MoWCl6
Method: DFT, PBE
State: relaxed

Lattice parameters (Å, degrees): 7.261 7.261 6.859 58.04 58.04 90.00
Element x y z (fractional)
Mo 0.500 0.500 0.000
Rb 0.750 0.250 0.500
Rb 0.250 0.750 0.500
W 0.000 0.000 0.000
Cl 0.249 0.249 0.501
Cl 0.751 0.751 0.499
Cl 0.247 0.247 0.000
Cl 0.753 0.753 0.000
Cl 0.753 0.247 0.000
Cl 0.247 0.753 0.000

## Properties
uncorrected formation energy = -0.664 eV/atom


3.
Material: Rb2YMoCl6
Method: DFT, PBE
State: relaxed

Lattice parameters (Å, degrees): 7.295 7.295 7.294 60.00 60.00 90.00
Site moments in Bohr magnetons follow the coordinates.
Element x y z (fractional)
Y 0.500 0.500 0.000  -0.13
Mo 0.000 0.000 0.000  0.99
Rb 0.750 0.250 0.500  0.00
Rb 0.250 0.750 0.500  0.00
Cl 0.243 0.243 0.514  0.01
Cl 0.757 0.757 0.486  0.01
Cl 0.243 0.243 0.000  0.01
Cl 0.757 0.757 0.000  0.01
Cl 0.757 0.243 0.000  0.01
Cl 0.243 0.757 0.000  0.01

## Properties
uncorrected formation energy = -1.446 eV/atom


4.
Material: ReMoCl2
Method: DFT, PBE
State: relaxed

Lattice parameters (Å, degrees): 4.365 4.365 4.365 60.00 60.00 60.00
Element x y z (fractional)
Re 0.500 0.500 0.500
Mo 0.000 0.000 0.000
Cl 0.250 0.250 0.250
Cl 0.750 0.750 0.750

## Properties
energy relative to the lowest polymorph listed for this composition = 1545 meV/atom
uncorrected formation energy = 1.330 eV/atom


5.
Material: ReMo4Cl
Method: DFT, PBE
State: relaxed

Lattice parameters (Å, degrees): 5.229 5.229 5.229 60.00 60.00 60.00
Element x y z (fractional)
Re 0.750 0.750 0.750
Mo 0.876 0.375 0.375
Mo 0.375 0.375 0.876
Mo 0.375 0.876 0.375
Mo 0.375 0.375 0.375
Cl 0.000 0.000 0.000

## Properties
uncorrected formation energy = 0.990 eV/atom


6.
Material: ReMo3Cl
Method: DFT, PBE
State: relaxed

Lattice parameters (Å, degrees): 4.815 4.815 4.815 90.00 90.00 90.00
Site moments in Bohr magnetons follow the coordinates.
Element x y z (fractional)
Re 0.000 0.000 0.000  -0.05
Mo 0.000 0.500 0.000  0.23
Mo 0.000 0.000 0.500  0.20
Mo 0.500 0.000 0.000  0.49
Cl 0.500 0.500 0.500  0.01

## Properties
energy relative to the lowest polymorph listed for this composition = 648 meV/atom
uncorrected formation energy = 1.901 eV/atom


7.
Material: ReMoCl2
Method: DFT, PBE
State: relaxed

Lattice parameters (Å, degrees): 4.827 4.827 4.827 130.92 130.92 71.94
Element x y z (fractional)
Re 0.750 0.250 0.500
Mo 0.250 0.750 0.500
Cl 0.000 0.000 0.000
Cl 0.500 0.500 0.000

## Properties
energy relative to the lowest polymorph listed for this composition = 1601 meV/atom
uncorrected formation energy = 1.386 eV/atom


8.
Material: ReMoCl2
Method: DFT, PBE
State: relaxed

Lattice parameters (Å, degrees): 4.700 4.700 4.700 126.41 126.41 79.21
Element x y z (fractional)
Re 0.750 0.250 0.500
Mo 0.500 0.500 0.000
Cl 0.000 0.000 0.000
Cl 0.250 0.750 0.500

## Properties
energy relative to the lowest polymorph listed for this composition = 1325 meV/atom
uncorrected formation energy = 1.110 eV/atom


9.
Material: ReMoCl2
Method: DFT, PBE
State: relaxed

Lattice parameters (Å, degrees): 10.422 10.422 10.422 16.17 16.17 16.17
Site moments in Bohr magnetons follow the coordinates.
Element x y z (fractional)
Re 0.750 0.750 0.750  1.33
Mo 0.250 0.250 0.250  -0.10
Cl 0.975 0.975 0.975  0.01
Cl 0.525 0.525 0.525  0.01

## Properties
energy relative to the lowest polymorph listed for this composition = 922 meV/atom
uncorrected formation energy = 0.708 eV/atom


10.
Material: ReMoCl2
Method: DFT, PBE
State: relaxed

Lattice parameters (Å, degrees): 2.850 3.862 5.668 90.00 90.00 90.00
Element x y z (fractional)
Re 0.500 0.500 0.750
Mo 0.500 0.500 0.250
Cl 0.000 0.000 0.003
Cl 0.000 0.000 0.497

## Properties
energy relative to the lowest polymorph listed for this composition = 1593 meV/atom
uncorrected formation energy = 1.379 eV/atom


11.
Material: ReMo3Cl
Method: DFT, PBE
State: relaxed

Lattice parameters (Å, degrees): 4.355 4.355 4.355 90.00 90.00 90.00
Element x y z (fractional)
Re 0.500 0.500 0.500
Mo 0.000 0.500 0.000
Mo 0.000 0.000 0.500
Mo 0.500 0.000 0.000
Cl 0.000 0.000 0.000

## Properties
energy relative to the lowest polymorph listed for this composition = 0 meV/atom
uncorrected formation energy = 1.253 eV/atom


12.
Material: Re4MoCl
Method: DFT, PBE
State: relaxed

Lattice parameters (Å, degrees): 5.222 5.222 5.222 60.00 60.00 60.00
Element x y z (fractional)
Re 0.874 0.375 0.375
Re 0.375 0.375 0.874
Re 0.375 0.874 0.375
Re 0.375 0.375 0.375
Mo 0.000 0.000 0.000
Cl 0.750 0.750 0.750

## Properties
uncorrected formation energy = 1.059 eV/atom


13.
Material: ReMoCl3
Method: DFT, PBE
State: relaxed

Lattice parameters (Å, degrees): 4.866 4.866 4.866 90.00 90.00 90.00
Site moments in Bohr magnetons follow the coordinates.
Element x y z (fractional)
Re 0.000 0.000 0.000  1.77
Mo 0.500 0.500 0.500  4.09
Cl 0.000 0.500 0.000  0.04
Cl 0.000 0.000 0.500  0.04
Cl 0.500 0.000 0.000  0.09

## Properties
energy relative to the lowest polymorph listed for this composition = 27 meV/atom
uncorrected formation energy = 0.993 eV/atom


14.
Material: ReMoCl2
Method: DFT, PBE
State: relaxed

Lattice parameters (Å, degrees): 3.857 4.043 4.043 90.00 90.00 90.00
Site moments in Bohr magnetons follow the coordinates.
Element x y z (fractional)
Re 0.500 0.000 0.500  -0.49
Mo 0.500 0.500 0.000  1.17
Cl 0.000 0.000 0.000  -0.01
Cl 0.000 0.500 0.500  -0.01

## Properties
energy relative to the lowest polymorph listed for this composition = 1581 meV/atom
uncorrected formation energy = 1.366 eV/atom


15.
Material: ReMoCl2
Method: DFT, PBE
State: relaxed

Lattice parameters (Å, degrees): 2.988 2.988 9.160 90.00 90.00 123.65
Site moments in Bohr magnetons follow the coordinates.
Element x y z (fractional)
Re 0.500 0.500 0.750  0.15
Mo 0.500 0.500 0.250  0.76
Cl 0.000 0.000 0.030  0.02
Cl 0.000 0.000 0.470  0.02

## Properties
energy relative to the lowest polymorph listed for this composition = 1118 meV/atom
uncorrected formation energy = 0.903 eV/atom


16.
Material: ReMoCl2
Method: DFT, PBE
State: relaxed

Lattice parameters (Å, degrees): 9.787 9.787 9.787 17.64 17.64 17.64
Element x y z (fractional)
Re 0.755 0.755 0.755
Mo 0.495 0.495 0.495
Cl 0.024 0.024 0.024
Cl 0.225 0.225 0.225

## Properties
energy relative to the lowest polymorph listed for this composition = 210 meV/atom
uncorrected formation energy = -0.005 eV/atom


17.
Material: ReMoCl2
Method: DFT, PBE
State: relaxed

Lattice parameters (Å, degrees): 2.805 5.388 4.350 90.00 90.00 90.00
Site moments in Bohr magnetons follow the coordinates.
Element x y z (fractional)
Re 0.000 0.500 0.500  0.54
Mo 0.500 0.000 0.500  0.82
Cl 0.000 0.000 0.000  0.02
Cl 0.500 0.500 0.000  0.03

## Properties
energy relative to the lowest polymorph listed for this composition = 1119 meV/atom
uncorrected formation energy = 0.905 eV/atom


18.
Material: ReMoCl2
Method: DFT, PBE
State: relaxed

Lattice parameters (Å, degrees): 5.337 5.337 6.500 65.76 65.76 90.00
Element x y z (fractional)
Re 0.000 0.000 0.000
Re 0.750 0.250 0.500
Mo 0.500 0.500 0.000
Mo 0.250 0.750 0.500
Cl 0.630 0.125 0.250
Cl 0.120 0.625 0.250
Cl 0.375 0.370 0.750
Cl 0.875 0.880 0.750

## Properties
energy relative to the lowest polymorph listed for this composition = 1491 meV/atom
uncorrected formation energy = 1.277 eV/atom


19.
Material: ReMoCl2
Method: DFT, PBE
State: relaxed

Lattice parameters (Å, degrees): 4.379 4.379 3.057 90.00 90.00 90.00
Element x y z (fractional)
Re 0.000 0.500 0.500
Mo 0.500 0.000 0.500
Cl 0.000 0.000 0.000
Cl 0.500 0.500 0.000

## Properties
energy relative to the lowest polymorph listed for this composition = 1535 meV/atom
uncorrected formation energy = 1.320 eV/atom


20.
Material: ReMoCl2
Method: DFT, PBE
State: relaxed

Lattice parameters (Å, degrees): 2.944 2.944 8.747 90.00 90.00 90.00
Element x y z (fractional)
Re 0.500 0.500 0.724
Mo 0.000 0.000 0.524
Cl 0.000 0.000 0.920
Cl 0.500 0.500 0.333

## Properties
energy relative to the lowest polymorph listed for this composition = 241 meV/atom
uncorrected formation energy = 0.026 eV/atom


21.
Material: ReMoCl2
Method: DFT, PBE
State: relaxed

Lattice parameters (Å, degrees): 2.822 2.822 9.384 90.00 90.00 90.00
Element x y z (fractional)
Re 0.500 0.500 0.750
Mo 0.500 0.500 0.250
Cl 0.000 0.000 0.083
Cl 0.000 0.000 0.417

## Properties
energy relative to the lowest polymorph listed for this composition = 1345 meV/atom
uncorrected formation energy = 1.130 eV/atom


22.
Material: ReMoCl2
Method: DFT, PBE
State: relaxed

Lattice parameters (Å, degrees): 6.219 6.219 5.731 72.59 72.59 29.40
Element x y z (fractional)
Re 0.889 0.889 0.445
Mo 0.492 0.492 0.593
Cl 0.936 0.936 0.001
Cl 0.183 0.183 0.461

## Properties
energy relative to the lowest polymorph listed for this composition = 553 meV/atom
uncorrected formation energy = 0.339 eV/atom


23.
Material: ReMoCl3
Method: DFT, PBE
State: relaxed

Lattice parameters (Å, degrees): 5.088 5.088 5.088 90.00 90.00 90.00
Site moments in Bohr magnetons follow the coordinates.
Element x y z (fractional)
Re 0.500 0.500 0.500  4.44
Mo 0.000 0.000 0.000  3.05
Cl 0.000 0.500 0.000  0.11
Cl 0.000 0.000 0.500  0.07
Cl 0.500 0.000 0.000  0.11

## Properties
energy relative to the lowest polymorph listed for this composition = 0 meV/atom
uncorrected formation energy = 0.966 eV/atom


24.
Material: ReMoCl2
Method: DFT, PBE
State: relaxed

Lattice parameters (Å, degrees): 9.250 9.250 9.250 160.51 161.04 27.32
Element x y z (fractional)
Re 0.326 0.826 0.500
Mo 0.426 0.426 0.000
Cl 0.018 0.018 0.000
Cl 0.730 0.230 0.500

## Properties
energy relative to the lowest polymorph listed for this composition = 413 meV/atom
uncorrected formation energy = 0.198 eV/atom


25.
Material: ReMoCl2
Method: DFT, PBE
State: relaxed

Lattice parameters (Å, degrees): 3.159 3.159 9.687 90.00 90.00 119.84
Element x y z (fractional)
Re 0.500 0.500 0.719
Mo 0.000 0.000 0.529
Cl 0.000 0.000 0.931
Cl 0.500 0.500 0.321

## Properties
energy relative to the lowest polymorph listed for this composition = 463 meV/atom
uncorrected formation energy = 0.249 eV/atom


26.
Material: ReMoCl2
Method: DFT, PBE
State: relaxed

Lattice parameters (Å, degrees): 7.009 7.009 4.480 84.57 84.57 24.44
Element x y z (fractional)
Re 0.750 0.750 0.750
Mo 0.250 0.250 0.250
Cl 0.889 0.889 0.037
Cl 0.611 0.611 0.463

## Properties
energy relative to the lowest polymorph listed for this composition = 490 meV/atom
uncorrected formation energy = 0.275 eV/atom


27.
Material: ReMoCl2
Method: DFT, PBE
State: relaxed

Lattice parameters (Å, degrees): 2.967 3.282 8.953 90.04 90.00 90.00
Element x y z (fractional)
Re 0.500 0.875 0.708
Mo 0.000 0.375 0.543
Cl 0.000 0.876 0.920
Cl 0.500 0.374 0.329

## Properties
energy relative to the lowest polymorph listed for this composition = 0 meV/atom
uncorrected formation energy = -0.215 eV/atom


28.
Material: ReMoRu2Cl
Method: DFT, PBE
State: relaxed

Lattice parameters (Å, degrees): 4.706 4.479 4.706 90.00 90.00 90.00
Site moments in Bohr magnetons follow the coordinates.
Element x y z (fractional)
Re 0.500 0.500 0.500  2.91
Mo 0.000 0.000 0.000  0.01
Cl 0.000 0.500 0.000  0.05
Ru 0.000 0.000 0.500  0.10
Ru 0.500 0.000 0.000  0.14

## Properties
uncorrected formation energy = 1.919 eV/atom


no.,electronic total energy (eV/atom)
1,-3.96
2,-4.34
3,-4.48
4,-5.41
5,-8.61
6,-7.46
7,-5.36
8,-5.63
9,-6.04
10,-5.36
11,-8.10
12,-9.35
13,-4.77
14,-5.38
15,-5.84
16,-6.75
17,-5.84
18,-5.47
19,-5.42
20,-6.72
21,-5.61
22,-6.40
23,-4.80
24,-6.55
25,-6.49
26,-6.47
27,-6.96
28,-6.82